1.
La2Mg2Hg | PBE | relaxed

- energy relative to the elements (meV per atom) = -242
- total magnetization (μB/cell) = 0.00
- energy above the most stable polymorph in this dataset (kcal/mol of atoms) = 0.00
- calculated total energy (eV for the cell shown) = -29.115

The structure in CIF format:
```
data_La2Mg2Hg
_cell_length_a 9.321
_cell_length_b 5.385
_cell_length_c 6.509
_cell_angle_alpha 90.00
_cell_angle_beta 118.35
_cell_angle_gamma 90.00
_symmetry_space_group_name_H-M 'C 1 2/m 1'
_symmetry_Int_Tables_number 12
loop_
_symmetry_equiv_pos_as_xyz
'x,y,z'
'-x,-y,-z'
'-x,y,-z'
'x,-y,z'
'x+1/2,y+1/2,z'
'-x+1/2,-y+1/2,-z'
'-x+1/2,y+1/2,-z'
'x+1/2,-y+1/2,z'
loop_
_atom_site_label
_atom_site_fract_x
_atom_site_fract_y
_atom_site_fract_z
_atom_site_occupancy
La1 0.096 0.000 0.289 1
Mg1 0.177 0.500 0.032 1
Hg1 0.000 0.500 0.500 1
```



2.
LaMg4Hg2 | PBE | relaxed

- energy relative to the elements (meV per atom) = -291
- total magnetization (μB/cell) = 0.00
- energy above the most stable polymorph in this dataset (kcal/mol of atoms) = 0.00
- calculated total energy (eV for the cell shown) = -27.890

The structure in CIF format:
```
data_LaMg4Hg2
_cell_length_a 8.537
_cell_length_b 8.537
_cell_length_c 4.684
_cell_angle_alpha 90.00
_cell_angle_beta 90.00
_cell_angle_gamma 90.00
_symmetry_space_group_name_H-M 'P 42/m n m'
_symmetry_Int_Tables_number 136
_symmetry_space_group_name_Hall '-P 4n 2n'
loop_
_atom_site_label
_atom_site_fract_x
_atom_site_fract_y
_atom_site_fract_z
_atom_site_occupancy
La1 0.000 0.000 0.000 1
Mg1 0.092 0.342 0.500 1
Hg1 0.214 0.786 0.500 1
```



3.
LaMg2Hg | PBE | relaxed

- energy relative to the elements (meV per atom) = -161
- total magnetization (μB/cell) = 0.00
- calculated total energy (eV for the cell shown) = -18.124

The structure in CIF format:
```
data_LaMg2Hg
_cell_length_a 10.263
_cell_length_b 3.479
_cell_length_c 6.225
_cell_angle_alpha 90.00
_cell_angle_beta 102.55
_cell_angle_gamma 90.00
_symmetry_space_group_name_H-M 'C 1 m 1'
_symmetry_Int_Tables_number 8
loop_
_symmetry_equiv_pos_as_xyz
'x,y,z'
'x,-y,z'
'x+1/2,y+1/2,z'
'x+1/2,-y+1/2,z'
loop_
_atom_site_label
_atom_site_fract_x
_atom_site_fract_y
_atom_site_fract_z
_atom_site_occupancy
La1 0.000 0.000 0.000 1
Mg1 0.231 0.000 0.676 1
Mg2 0.485 0.000 0.492 1
Hg1 0.255 0.500 0.273 1
```